i | The following is a PBE-GGA calculation of a relaxed IrClF2 crystal, from the Alexandria database.

SG: I-42d, No. 122
Density, Mg/m³: 7.40

Unit cell a=4.060 b=4.060 c=14.467 alpha=90.00 beta=90.00 gamma=90.00
Atoms (fractional coordinates):
Ir 0.000 0.000 0.000
Ir 0.000 0.500 0.250
Ir 0.500 0.000 0.750
Ir 0.500 0.500 0.500
Cl 0.000 0.000 0.500
Cl 0.000 0.500 0.750
Cl 0.500 0.000 0.250
Cl 0.500 0.500 0.000
F 0.106 0.250 0.125
F 0.250 0.606 0.375
F 0.250 0.894 0.875
F 0.394 0.250 0.625
F 0.606 0.750 0.625
F 0.750 0.106 0.875
F 0.750 0.394 0.375
F 0.894 0.750 0.125

---

ii | The following is a PBE-GGA calculation of a relaxed IrClF2 crystal, from the Alexandria database.

SG: R-3m, No. 166
Density, Mg/m³: 6.66

Unit cell a=2.712 b=2.712 c=31.194 alpha=90.00 beta=90.00 gamma=120.00
Atoms (fractional coordinates):
Ir 0.000 0.000 0.000
Ir 0.333 0.667 0.667
Ir 0.667 0.333 0.333
Cl 0.000 0.000 0.500
Cl 0.333 0.667 0.167
Cl 0.667 0.333 0.833
F 0.000 0.000 0.061
F 0.000 0.000 0.939
F 0.333 0.667 0.606
F 0.333 0.667 0.727
F 0.667 0.333 0.273
F 0.667 0.333 0.394

---

Stability summary - winner: ii; margin: 54.5 kJ/mol of atoms.

---

i | The following is a PBE-GGA calculation of a relaxed Ir2Cl2F crystal, from the Alexandria database.

SG: P4/mbm, No. 127
Density, Mg/m³: 8.68

Unit cell a=7.759 b=7.759 c=3.014 alpha=90.00 beta=90.00 gamma=90.00
Atoms (fractional coordinates):
Ir 0.109 0.391 0.000
Ir 0.391 0.891 0.000
Ir 0.609 0.109 0.000
Ir 0.891 0.609 0.000
Cl 0.235 0.735 0.500
Cl 0.265 0.235 0.500
Cl 0.735 0.765 0.500
Cl 0.765 0.265 0.500
F 0.000 0.000 0.000
F 0.500 0.500 0.000

---

ii | The following is a PBE-GGA calculation of a relaxed Ir2Cl2F crystal, from the Alexandria database.

SG: I4/mmm, No. 139
Density, Mg/m³: 9.69

Unit cell a=4.831 b=4.831 c=6.967 alpha=90.00 beta=90.00 gamma=90.00
Atoms (fractional coordinates):
Ir 0.000 0.000 0.180
Ir 0.000 0.000 0.820
Ir 0.500 0.500 0.320
Ir 0.500 0.500 0.680
Cl 0.000 0.500 0.250
Cl 0.000 0.500 0.750
Cl 0.500 0.000 0.250
Cl 0.500 0.000 0.750
F 0.000 0.000 0.500
F 0.500 0.500 0.000

---

Stability summary - winner: ii; margin: 42.3 kJ/mol of atoms.

---

i | The following is a PBE-GGA calculation of a relaxed IrSCl2F crystal, from the Alexandria database.

SG: P4/mmm, No. 123
Density, Mg/m³: 5.29

Unit cell a=5.264 b=5.264 c=3.558 alpha=90.00 beta=90.00 gamma=90.00
Atoms (fractional coordinates):
Ir 0.000 0.000 0.000
S 0.500 0.500 0.000
Cl 0.000 0.500 0.500
Cl 0.500 0.000 0.500
F 0.500 0.500 0.500

---

ii | The following is a PBE-GGA calculation of a relaxed IrSCl2F crystal, from the Alexandria database.

SG: P4/mmm, No. 123
Density, Mg/m³: 5.05

Unit cell a=4.843 b=4.843 c=4.408 alpha=90.00 beta=90.00 gamma=90.00
Atoms (fractional coordinates):
Ir 0.000 0.000 0.000
S 0.000 0.000 0.500
Cl 0.000 0.500 0.000
Cl 0.500 0.000 0.000
F 0.500 0.500 0.500

---

Stability summary - winner: ii; margin: 92.2 kJ/mol of atoms.

---

i | The following is a PBE-GGA calculation of a relaxed ScIr2ClF crystal, from the Alexandria database.

SG: P4/mmm, No. 123
Density, Mg/m³: 8.85

Unit cell a=4.355 b=4.355 c=4.784 alpha=90.00 beta=90.00 gamma=90.00
Atoms (fractional coordinates):
Sc 0.000 0.000 0.000
Ir 0.000 0.500 0.500
Ir 0.500 0.000 0.500
Cl 0.500 0.500 0.500
F 0.500 0.500 0.000

---

ii | The following is a PBE-GGA calculation of a relaxed ScIr2ClF crystal, from the Alexandria database.

SG: P4/mmm, No. 123
Density, Mg/m³: 9.42

Unit cell a=4.092 b=4.092 c=5.093 alpha=90.00 beta=90.00 gamma=90.00
Atoms (fractional coordinates):
Sc 0.000 0.000 0.000
Ir 0.000 0.500 0.500
Ir 0.500 0.000 0.500
Cl 0.500 0.500 0.000
F 0.500 0.500 0.500

---

Stability summary - winner: ii; margin: 5.6 kJ/mol of atoms.

---

i | The following is a PBE-GGA calculation of a relaxed K3ClF2 crystal, from the Alexandria database.

SG: Immm, No. 71
Density, Mg/m³: 2.11

Unit cell a=4.150 b=5.292 c=13.662 alpha=90.00 beta=90.00 gamma=90.00
Atoms (fractional coordinates):
K 0.000 0.000 0.000
K 0.000 0.500 0.196
K 0.000 0.500 0.804
K 0.500 0.000 0.304
K 0.500 0.000 0.696
K 0.500 0.500 0.500
Cl 0.000 0.000 0.500
Cl 0.500 0.500 0.000
F 0.000 0.000 0.188
F 0.000 0.000 0.812
F 0.500 0.500 0.312
F 0.500 0.500 0.688

---

ii | The following is a PBE-GGA calculation of a relaxed K3ClF2 crystal, from the Alexandria database.

SG: Immm, No. 71
Density, Mg/m³: 2.18

Unit cell a=3.995 b=5.950 c=12.215 alpha=90.00 beta=90.00 gamma=90.00
Atoms (fractional coordinates):
K 0.000 0.000 0.000
K 0.000 0.000 0.308
K 0.000 0.000 0.692
K 0.500 0.500 0.192
K 0.500 0.500 0.500
K 0.500 0.500 0.808
Cl 0.000 0.500 0.000
Cl 0.500 0.000 0.500
F 0.000 0.500 0.333
F 0.000 0.500 0.667
F 0.500 0.000 0.167
F 0.500 0.000 0.833

---

Stability summary - winner: i; margin: 2.1 kJ/mol of atoms.

---

i | The following is a PBE-GGA calculation of a relaxed KClF2 crystal, from the Alexandria database.

SG: I-42d, No. 122
Density, Mg/m³: 2.31

Unit cell a=4.656 b=4.656 c=14.934 alpha=90.00 beta=90.00 gamma=90.00
Atoms (fractional coordinates):
K 0.000 0.000 0.000
K 0.000 0.500 0.250
K 0.500 0.000 0.750
K 0.500 0.500 0.500
Cl 0.000 0.000 0.500
Cl 0.000 0.500 0.750
Cl 0.500 0.000 0.250
Cl 0.500 0.500 0.000
F 0.155 0.250 0.625
F 0.250 0.655 0.875
F 0.250 0.845 0.375
F 0.345 0.250 0.125
F 0.655 0.750 0.125
F 0.750 0.155 0.375
F 0.750 0.345 0.875
F 0.845 0.750 0.625

---

ii | The following is a PBE-GGA calculation of a relaxed KClF2 crystal, from the Alexandria database.

SG: R-3m, No. 166
Density, Mg/m³: 2.62

Unit cell a=4.192 b=4.192 c=14.051 alpha=90.00 beta=90.00 gamma=120.00
Atoms (fractional coordinates):
K 0.000 0.000 0.000
K 0.333 0.667 0.667
K 0.667 0.333 0.333
Cl 0.000 0.000 0.500
Cl 0.333 0.667 0.167
Cl 0.667 0.333 0.833
F 0.000 0.000 0.234
F 0.000 0.000 0.766
F 0.333 0.667 0.432
F 0.333 0.667 0.901
F 0.667 0.333 0.099
F 0.667 0.333 0.568

---

iii | The following is a PBE-GGA calculation of a relaxed KClF2 crystal, from the Alexandria database.

SG: Fm-3m, No. 225
Density, Mg/m³: 2.67

Unit cell a=6.543 b=6.543 c=6.543 alpha=90.00 beta=90.00 gamma=90.00
Atoms (fractional coordinates):
K 0.000 0.000 0.000
K 0.000 0.500 0.500
K 0.500 0.000 0.500
K 0.500 0.500 0.000
Cl 0.000 0.000 0.500
Cl 0.000 0.500 0.000
Cl 0.500 0.000 0.000
Cl 0.500 0.500 0.500
F 0.250 0.250 0.250
F 0.250 0.250 0.750
F 0.250 0.750 0.250
F 0.250 0.750 0.750
F 0.750 0.250 0.250
F 0.750 0.250 0.750
F 0.750 0.750 0.250
F 0.750 0.750 0.750

---

Stability summary - winner: i; margin: 3.8 kJ/mol of atoms.

---

i | The following is a PBE-GGA calculation of a relaxed K5ClF4 crystal, from the Alexandria database.

SG: C2/m, No. 12
Density, Mg/m³: 2.28

Unit cell a=6.849 b=6.849 c=9.863 alpha=117.63 beta=117.63 gamma=33.50
Atoms (fractional coordinates):
K 0.000 0.000 0.000
K 0.208 0.208 0.819
K 0.390 0.390 0.625
K 0.610 0.610 0.375
K 0.792 0.792 0.181
Cl 0.000 0.000 0.500
F 0.196 0.196 0.283
F 0.402 0.402 0.095
F 0.598 0.598 0.905
F 0.804 0.804 0.717

---

ii | The following is a PBE-GGA calculation of a relaxed K5ClF4 crystal, from the Alexandria database.

SG: R-3m, No. 166
Density, Mg/m³: 2.32

Unit cell a=16.418 b=16.418 c=16.418 alpha=13.82 beta=13.82 gamma=13.82
Atoms (fractional coordinates):
K 0.000 0.000 0.000
K 0.209 0.209 0.209
K 0.396 0.396 0.396
K 0.604 0.604 0.604
K 0.791 0.791 0.791
Cl 0.500 0.500 0.500
F 0.093 0.093 0.093
F 0.302 0.302 0.302
F 0.698 0.698 0.698
F 0.907 0.907 0.907

---

Stability summary - winner: ii; margin: 0.8 kJ/mol of atoms.

---

i | The following is a PBE-GGA calculation of a relaxed K4Cl3F crystal, from the Alexandria database.

SG: Cmmm, No. 65
Density, Mg/m³: 2.00

Unit cell a=8.802 b=12.318 c=4.318 alpha=90.00 beta=90.00 gamma=90.00
Atoms (fractional coordinates):
K 0.000 0.237 0.000
K 0.000 0.763 0.000
K 0.227 0.000 0.500
K 0.273 0.500 0.500
K 0.500 0.263 0.000
K 0.500 0.737 0.000
K 0.727 0.500 0.500
K 0.773 0.000 0.500
Cl 0.000 0.500 0.000
Cl 0.250 0.250 0.500
Cl 0.250 0.750 0.500
Cl 0.500 0.000 0.000
Cl 0.750 0.250 0.500
Cl 0.750 0.750 0.500
F 0.000 0.000 0.000
F 0.500 0.500 0.000

---

ii | The following is a PBE-GGA calculation of a relaxed K4Cl3F crystal, from the Alexandria database.

SG: P2/c, No. 13
Density, Mg/m³: 2.00

Unit cell a=7.604 b=8.736 c=7.476 alpha=90.00 beta=109.47 gamma=90.00
Atoms (fractional coordinates):
K 0.220 0.110 0.006
K 0.220 0.890 0.506
K 0.242 0.361 0.486
K 0.242 0.639 0.986
K 0.758 0.361 0.014
K 0.758 0.639 0.514
K 0.780 0.110 0.494
K 0.780 0.890 0.994
Cl 0.000 0.372 0.750
Cl 0.000 0.628 0.250
Cl 0.500 0.122 0.750
Cl 0.500 0.371 0.250
Cl 0.500 0.629 0.750
Cl 0.500 0.878 0.250
F 0.000 0.112 0.250
F 0.000 0.888 0.750

---

Stability summary - winner: ii; margin: 0.5 kJ/mol of atoms.